Al2FeOs GGA-PBEsol optimized geometry; V = 12.70 Å³/atom; crystal system = tetragonal; space group = P4/mmm; E = -7.687 eV per atom; energy of formation from the pure elements = -0.3468 eV/atom
1.0
4.1304 0.0000 0.0000
0.0000 4.1304 0.0000
0.0000 0.0000 2.9779
Al Fe Os
2 1 1
direct
0.0000 0.5000 0.0000
0.5000 0.0000 0.0000
0.0000 0.0000 0.5000
0.5000 0.5000 0.5000